Record 1
{"formula": "TbHf2Sc", "functional": "PBE", "state": "optimized geometry", "lattice_angstrom": [[3.243, 0.000, 0.000], [1.621, 2.808, 0.000], [1.621, 0.936, 10.739]], "species": ["Hf", "Hf", "Tb", "Sc"], "frac_coords": [[0.252, 0.252, 0.243], [0.748, 0.748, 0.757], [0.500, 0.500, 0.500], [0.000, 0.000, 0.000]], "magnetic_moment_mub_per_fu": 0.00, "relative_energy_mev_per_atom": 14, "crystal_system": "trigonal", "spacegroup": "R-3m", "e_form_mev_per_atom": 147}

---

Record 2
{"formula": "ZrTiSi", "functional": "PBE", "state": "optimized geometry", "lattice_angstrom": [[-2.669, 1.110, -1.724], [-0.054, -3.680, -2.285], [-2.258, 0.295, 3.685]], "species": ["Si", "Ti", "Zr"], "frac_coords": [[0.576, 0.333, 0.667], [0.452, 0.667, 0.333], [0.972, 0.000, 0.000]], "magnetic_moment_mub_per_fu": 0.00, "crystal_system": "trigonal", "spacegroup": "P3m1", "raw_formation_energy_ev_per_atom": -0.2492}

---

Record 3
{"formula": "SnSbMoW2", "functional": "PBE", "state": "optimized geometry", "lattice_angstrom": [[-4.476, 0.921, -1.890], [-0.291, -5.108, -1.799], [-2.086, -1.383, 4.265]], "species": ["Sn", "Mo", "W", "W", "Sb"], "frac_coords": [[0.000, 0.500, 0.000], [0.500, 0.500, 0.500], [0.000, 0.000, 0.500], [0.500, 0.000, 0.000], [0.000, 0.000, 0.000]], "magnetic_moment_mub_per_fu": 1.35, "crystal_system": "tetragonal", "spacegroup": "P4/mmm", "raw_formation_energy_ev_per_atom": 2.6040}

---

Record 4
{"formula": "SmTlAgCl5", "functional": "PBE", "state": "optimized geometry", "lattice_angstrom": [[7.709, -0.182, -0.045], [-2.425, 7.320, -0.045], [-2.231, -3.013, 9.568]], "species": ["Tl", "Tl", "Cl", "Cl", "Cl", "Cl", "Cl", "Cl", "Cl", "Cl", "Cl", "Cl", "Ag", "Ag", "Sm", "Sm"], "frac_coords": [[0.351, 0.649, 0.250], [0.649, 0.351, 0.750], [0.076, 0.924, 0.250], [0.741, 0.631, 0.436], [0.259, 0.369, 0.564], [0.693, 0.083, 0.400], [0.924, 0.076, 0.750], [0.917, 0.307, 0.100], [0.083, 0.693, 0.900], [0.369, 0.259, 0.064], [0.631, 0.741, 0.936], [0.307, 0.917, 0.600], [0.689, 0.311, 0.250], [0.311, 0.689, 0.750], [0.000, 0.000, 0.000], [0.000, 0.000, 0.500]], "magnetic_moment_mub_per_fu": 0.00, "crystal_system": "monoclinic", "spacegroup": "C2/c", "raw_formation_energy_ev_per_atom": -1.5072}

---

Record 5
{"formula": "Y2HfNiIr", "functional": "PBE", "state": "optimized geometry", "lattice_angstrom": [[-4.137, -2.795, -0.785], [-0.265, -0.894, 4.582], [-2.889, 4.099, 0.632]], "species": ["Hf", "Ni", "Y", "Y", "Ir"], "frac_coords": [[0.000, 0.500, 0.000], [0.000, 0.000, 0.000], [0.500, 0.000, 0.000], [0.000, 0.000, 0.500], [0.500, 0.500, 0.500]], "magnetic_moment_mub_per_fu": 0.00, "crystal_system": "tetragonal", "spacegroup": "P4/mmm", "e_form_mev_per_atom": 214}

---

Record 6
{"formula": "AcPmAu", "functional": "PBE", "state": "optimized geometry", "lattice_angstrom": [[-1.444, 2.115, -4.622], [-0.023, -2.968, -4.371], [-4.587, -1.391, -2.224]], "species": ["Au", "Ac", "Pm"], "frac_coords": [[0.250, 0.250, 0.250], [0.000, 0.000, 0.000], [0.500, 0.500, 0.500]], "magnetic_moment_mub_per_fu": 0.01, "relative_energy_mev_per_atom": 201, "crystal_system": "cubic", "spacegroup": "F-43m", "e_form_mev_per_atom": -336}